VASP calculation (PBE-GGA) on a relaxed structure of LaHoGePd.

Calculated values
As for the total moment: 0.0 μB per cell. For the density of states at the Fermi level, the calculation gives 0.493 states/eV per atom. For the calculated volume, the calculation gives 23.97 Å³/atom. The space group is F-43m (216). The energy of formation comes out at -0.76 eV per atom.

POSCAR file:
```
LaHoGePd
1.0
-1.048 -3.257 -3.832
3.428 -0.737 -3.755
2.519 -4.465 -0.338
Ge Ho Pd La
1 1 1 1
Cartesian
1.225 -2.115 -1.981 Ge
0.000 0.000 0.000 Ho
3.674 -6.345 -5.944 Pd
2.449 -4.230 -3.963 La
```

VASP calculation (PBE-GGA) on a relaxed structure of GdHoGe2.

Calculated values
As for the total moment: 7.1 μB per cell. For the density of states at the Fermi level, the calculation gives 0.592 states/eV per atom. For the calculated volume, the calculation gives 24.30 Å³/atom. Its polymorph energy (0 for the lowest one) is 0.000 eV per atom. The space group is R-3m (166). The energy of formation comes out at -0.69 eV per atom.

POSCAR file:
```
GdHoGe2
1.0
4.641 0.000 0.000
2.320 4.019 0.000
2.320 1.340 5.211
Ge Gd Ho
2 1 1
Cartesian
6.961 4.019 3.945 Ge
2.320 1.340 1.266 Ge
4.641 2.679 2.605 Gd
0.000 0.000 0.000 Ho
```

VASP calculation (PBE-GGA) on a relaxed structure of PaBe4Ru.

Calculated values
As for the total moment: 0.9 μB per cell. For the density of states at the Fermi level, the calculation gives 0.948 states/eV per atom. For the calculated volume, the calculation gives 12.60 Å³/atom. The space group is F-43m (216). The energy of formation comes out at -0.02 eV per atom.

POSCAR file:
```
PaBe4Ru
1.0
-4.249 1.913 -0.903
-3.692 -2.799 -1.032
-3.541 -0.504 3.120
Ru Pa Be
1 1 4
Cartesian
0.000 0.000 0.000 Ru
-2.870 -0.348 0.296 Pa
-5.396 -0.615 -0.857 Be
-5.319 0.563 1.274 Be
-7.214 -0.873 0.745 Be
-5.033 -1.855 1.208 Be
```

VASP calculation (PBE-GGA) on a relaxed structure of LaZrV2.

Calculated values
As for the total moment: 4.2 μB per cell. For the density of states at the Fermi level, the calculation gives 1.713 states/eV per atom. For the calculated volume, the calculation gives 21.26 Å³/atom. Its polymorph energy (0 for the lowest one) is 0.000 eV per atom. The space group is Fm-3m (225). The energy of formation comes out at 0.46 eV per atom.

POSCAR file:
```
LaZrV2
1.0
-3.668 -1.631 2.872
-3.470 3.131 1.588
-4.592 -0.292 -1.788
La Zr V
1 1 2
Cartesian
-5.865 0.604 1.336 La
0.000 0.000 0.000 Zr
-2.933 0.302 0.668 V
-8.798 0.906 2.004 V
```